1.
Tm3Te2Au | PBE-GGA | relaxed

It has space group Fddd (No. 70, origin choice 2), with a = 8.681 Å, b = 12.108 Å, c = 25.384 Å, α = 90.00°, β = 90.00° and γ = 90.00°. Symmetry generates all atoms from Tm at (0.100, 0.375, 0.375), Tm at (0.112, 0.363, 0.213), Te at (0.125, 0.125, 0.380), Te at (0.125, 0.125, 0.545) and Au at (0.125, 0.125, 0.042).

The value obtained for the density of states at the Fermi level is 59.7 states/eV per cell. For the total energy, the calculation gives -472.41 eV per cell. As for the formation energy without anion corrections: -1.092 eV/atom.

---

2.
Tm4Te2Au | PBE-GGA | relaxed

It has space group Pbam (No. 55), with a = 7.727 Å, b = 12.210 Å, c = 4.341 Å, α = 90.00°, β = 90.00° and γ = 90.00°. Symmetry generates all atoms from Tm at (0.140, 0.210, 0.000), Tm at (0.211, 0.942, 0.500), Te at (0.076, 0.669, 0.500) and Au at (0.000, 0.000, 0.000).

The value obtained for the density of states at the Fermi level is 10.9 states/eV per cell. For the total energy, the calculation gives -67.11 eV per cell. As for the formation energy without anion corrections: -0.873 eV/atom.

---

3.
Tm6Te5Au | PBE-GGA | relaxed

It has space group C2/m (No. 12), with a = 7.497 Å, b = 12.915 Å, c = 7.462 Å, α = 90.00°, β = 109.27° and γ = 90.00°. Symmetry generates all atoms from Tm at (0.223, 0.000, 0.261), Tm at (0.228, 0.153, 0.729), Te at (0.000, 0.180, 0.000), Te at (0.000, 0.336, 0.500), Te at (0.000, 0.500, 0.000) and Au at (0.000, 0.000, 0.500).

The value obtained for the density of states at the Fermi level is 7.5 states/eV per cell. For the total energy, the calculation gives -119.98 eV per cell. As for the formation energy without anion corrections: -1.181 eV/atom.

---

4.
Tm7Te2Au2 | PBE-GGA | relaxed

It has space group Imm2 (No. 44), with a = 4.005 Å, b = 15.369 Å, c = 9.655 Å, α = 90.00°, β = 90.00° and γ = 90.00°. Symmetry generates all atoms from Tm at (0.000, 0.000, 0.000), Tm at (0.000, 0.128, 0.587), Tm at (0.000, 0.317, 0.377), Tm at (0.000, 0.359, 0.738), Te at (0.000, 0.000, 0.341), Te at (0.000, 0.500, 0.238) and Au at (0.000, 0.236, 0.075).

The value obtained for the density of states at the Fermi level is 18.6 states/eV per cell. For the total energy, the calculation gives -106.31 eV per cell. As for the energy above the most stable polymorph in this dataset: 0.0000 eV/atom. As for the formation energy without anion corrections: -0.820 eV/atom.

---

5.
Tm4Te5Au | PBE-GGA | relaxed

It has space group Pmmn (No. 59, origin choice 2), with a = 9.168 Å, b = 9.912 Å, c = 7.556 Å, α = 90.00°, β = 90.00° and γ = 90.00°. Symmetry generates all atoms from Tm at (0.003, 0.250, 0.068), Tm at (0.250, 0.020, 0.525), Te at (0.022, 0.549, 0.240), Te at (0.250, 0.750, 0.691) and Au at (0.250, 0.250, 0.297).

The value obtained for the density of states at the Fermi level is 6.3 states/eV per cell. For the total energy, the calculation gives -94.38 eV per cell. As for the formation energy without anion corrections: -1.032 eV/atom.

---

6.
TmTeAu4 | PBE-GGA | relaxed

It has space group F-43m (No. 216), with a = 7.986 Å, b = 7.986 Å, c = 7.986 Å, α = 90.00°, β = 90.00° and γ = 90.00°. Symmetry generates all atoms from Tm at (0.000, 0.000, 0.000), Te at (0.250, 0.250, 0.250) and Au at (0.125, 0.125, 0.625).

The value obtained for the density of states at the Fermi level is 13.1 states/eV per cell. For the total energy, the calculation gives -91.80 eV per cell. As for the formation energy without anion corrections: -0.371 eV/atom.

---

7.
Tm5Te2Au | PBE-GGA | relaxed

It has space group Cmcm (No. 63), with a = 5.854 Å, b = 12.613 Å, c = 12.684 Å, α = 90.00°, β = 90.00° and γ = 90.00°. Symmetry generates all atoms from Tm at (0.000, 0.051, 0.114), Tm at (0.000, 0.371, 0.750), Tm at (0.000, 0.390, 0.078), Te at (0.000, 0.193, 0.584) and Au at (0.000, 0.232, 0.250).

The value obtained for the density of states at the Fermi level is 32.4 states/eV per cell. For the total energy, the calculation gives -146.74 eV per cell. As for the formation energy without anion corrections: -0.596 eV/atom.

---

8.
UTeAu | PBE-GGA | relaxed

It has space group I4mm (No. 107), with a = 3.830 Å, b = 3.830 Å, c = 9.972 Å, α = 90.00°, β = 90.00° and γ = 90.00°. Symmetry generates all atoms from U at (0.000, 0.000, 0.000), Te at (0.000, 0.000, 0.328) and Au at (0.000, 0.000, 0.656).

The value obtained for the density of states at the Fermi level is 12.1 states/eV per cell. For the total energy, the calculation gives -37.34 eV per cell. As for the energy above the most stable polymorph in this dataset: 0.0726 eV/atom. As for the formation energy without anion corrections: -0.320 eV/atom.